[1]
Compound: BaZn2Re
Source: Alexandria
Functional: PBE
Structure: optimized geometry

abc: 3.0160 3.0160 30.5706
angles: 90.00 90.00 120.00
Closest atoms and distances in Å follow each position.
Fractional positions:
Ba  0.0000  0.0000  0.0000  6 Ba 3.02
Ba  0.3333  0.6667  0.6667  6 Ba 3.02
Ba  0.6667  0.3333  0.3333  6 Ba 3.02
Zn  0.0000  0.0000  0.2358  3 Re 2.74, 6 Zn 3.02
Zn  0.0000  0.0000  0.7642  3 Re 2.74, 6 Zn 3.02
Zn  0.3333  0.6667  0.4309  3 Re 2.74, 6 Zn 3.02
Zn  0.3333  0.6667  0.9025  3 Re 2.74, 6 Zn 3.02
Zn  0.6667  0.3333  0.0975  3 Re 2.74, 6 Zn 3.02
Zn  0.6667  0.3333  0.5691  3 Re 2.74, 6 Zn 3.02
Re  0.0000  0.0000  0.5000  6 Zn 2.74, 6 Re 3.02
Re  0.3333  0.6667  0.1667  6 Zn 2.74, 6 Re 3.02
Re  0.6667  0.3333  0.8333  6 Zn 2.74, 6 Re 3.02

Results
As for the energy relative to the elements: 0.733 eV/atom. The uncorrected energy is -3.497 eV/atom. The space-group type is No. 166. The calculation puts the energy above the most stable polymorph in this dataset at 271.2 meV/atom.

[2]
Compound: Ti2CuHOs
Source: Alexandria
Functional: PBE
Structure: optimized geometry

abc: 4.0690 4.0690 3.6994
angles: 90.00 90.00 90.00
Closest atoms and distances in Å follow each position.
Fractional positions:
Ti  0.0000  0.5000  0.0000  2 H 2.03
Ti  0.5000  0.0000  0.0000  2 H 2.03
Cu  0.0000  0.0000  0.5000  8 Ti 2.75, 4 Os 2.88
H  0.5000  0.5000  0.0000  2 Os 1.85, 4 Ti 2.03
Os  0.5000  0.5000  0.5000  2 H 1.85

Results
The uncorrected energy is -7.118 eV/atom. The space-group type is No. 123. The calculation puts the energy above the most stable polymorph in this dataset at 77.6 meV/atom.

[3]
Compound: PmHf2Tl
Source: Alexandria
Functional: PBE
Structure: optimized geometry

abc: 3.1999 3.1999 34.4380
angles: 90.00 90.00 120.00
Closest atoms and distances in Å follow each position.
Fractional positions:
Pm  0.0000  0.0000  0.0000  2 Hf 3.15, 6 Pm 3.20
Pm  0.3333  0.6667  0.6667  2 Hf 3.15, 6 Pm 3.20
Pm  0.6667  0.3333  0.3333  2 Hf 3.15, 6 Pm 3.20
Hf  0.0000  0.0000  0.0915  1 Pm 3.15, 3 Tl 3.18, 6 Hf 3.20
Hf  0.0000  0.0000  0.9085  1 Pm 3.15, 3 Tl 3.18, 6 Hf 3.20
Hf  0.3333  0.6667  0.5751  1 Pm 3.15, 3 Tl 3.18, 6 Hf 3.20
Hf  0.3333  0.6667  0.7582  1 Pm 3.15, 3 Tl 3.18, 6 Hf 3.20
Hf  0.6667  0.3333  0.2418  1 Pm 3.15, 3 Tl 3.18, 6 Hf 3.20
Hf  0.6667  0.3333  0.4249  1 Pm 3.15, 3 Tl 3.18, 6 Hf 3.20
Tl  0.0000  0.0000  0.5000  6 Hf 3.18, 6 Tl 3.20
Tl  0.3333  0.6667  0.1667  6 Hf 3.18, 6 Tl 3.20
Tl  0.6667  0.3333  0.8333  6 Hf 3.18, 6 Tl 3.20

Results
As for the energy relative to the elements: 0.397 eV/atom. The uncorrected energy is -6.359 eV/atom. The space-group type is No. 166.

[4]
Compound: TbNbAl4
Source: Alexandria
Functional: PBE
Structure: optimized geometry

abc: 5.3550 5.3550 5.3550
angles: 60.00 60.00 60.00
Closest atoms and distances in Å follow each position.
Fractional positions:
Tb  0.0000  0.0000  0.0000  12 Al 3.14, 4 Nb 3.28
Nb  0.2500  0.2500  0.2500  12 Al 3.14, 4 Tb 3.28
Al  0.1268  0.6244  0.6244  6 Al 2.66-2.69
Al  0.6244  0.1268  0.6244  6 Al 2.66-2.69
Al  0.6244  0.6244  0.1268  6 Al 2.66-2.69
Al  0.6244  0.6244  0.6244  6 Al 2.66-2.69

Results
As for the energy relative to the elements: -0.379 eV/atom. The uncorrected energy is -5.324 eV/atom. The space-group type is No. 216.

[5]
Compound: Li2BiAsO6
Source: Alexandria
Functional: PBE
Structure: optimized geometry

abc: 7.0129 7.0129 6.9609
angles: 111.58 111.58 84.28
Closest atoms and distances in Å follow each position.
Fractional positions:
Li  0.0963  0.2107  0.0820  4 O 1.93-2.11
Li  0.2107  0.0963  0.5820  4 O 1.93-2.11
Li  0.7893  0.9037  0.4180  4 O 1.93-2.11
Li  0.9037  0.7893  0.9180  4 O 1.93-2.11
Bi  0.3042  0.6958  0.7500  6 O 2.31-2.57
Bi  0.6958  0.3042  0.2500  6 O 2.31-2.57
As  0.3521  0.6479  0.2500  4 O 1.72
As  0.6479  0.3521  0.7500  4 O 1.72
O  0.0104  0.1553  0.3184  1 O 1.50
O  0.1553  0.0104  0.8184  1 O 1.50
O  0.1815  0.6920  0.0206  1 As 1.72
O  0.3080  0.8185  0.4794  1 As 1.72
O  0.3307  0.4024  0.2428  1 As 1.72
O  0.4024  0.3307  0.7428  1 As 1.72
O  0.5976  0.6693  0.2572  1 As 1.72
O  0.6693  0.5976  0.7572  1 As 1.72
O  0.6920  0.1815  0.5206  1 As 1.72
O  0.8185  0.3080  0.9794  1 As 1.72
O  0.8447  0.9896  0.1816  1 O 1.50
O  0.9896  0.8447  0.6816  1 O 1.50

Results
The uncorrected energy is -5.553 eV/atom. As for the formation energy without anion corrections: -1295 kJ/mol of formula units. The space-group type is No. 15.

[6]
Compound: NbIrRu2
Source: Alexandria
Functional: PBE
Structure: optimized geometry

abc: 3.9015 3.9015 3.9328
angles: 90.00 90.00 90.00
Closest atoms and distances in Å follow each position.
Fractional positions:
Nb  0.0000  0.0000  0.0000  4 Ir 2.76, 8 Ru 2.77
Ir  0.5000  0.5000  0.0000  4 Nb 2.76, 8 Ru 2.77
Ru  0.0000  0.5000  0.5000  4 Ru 2.76, 4 Nb 2.77, 4 Ir 2.77
Ru  0.5000  0.0000  0.5000  4 Ru 2.76, 4 Nb 2.77, 4 Ir 2.77

Results
As for the energy relative to the elements: -0.316 eV/atom. The uncorrected energy is -9.687 eV/atom. The space-group type is No. 123. The calculation puts the energy above the most stable polymorph in this dataset at 0.0 meV/atom.

[7]
Compound: NbZnCo3
Source: Alexandria
Functional: PBE
Structure: optimized geometry

abc: 4.4412 4.4412 4.4412
angles: 90.00 90.00 90.00
Closest atoms and distances in Å follow each position.
Fractional positions:
Nb  0.0000  0.0000  0.0000  6 Co 2.22
Zn  0.5000  0.5000  0.5000  12 Co 3.14
Co  0.0000  0.0000  0.5000  2 Nb 2.22
Co  0.0000  0.5000  0.0000  2 Nb 2.22
Co  0.5000  0.0000  0.0000  2 Nb 2.22

Results
As for the energy relative to the elements: 1.361 eV/atom. The uncorrected energy is -5.172 eV/atom. The space-group type is No. 221. The calculation puts the energy above the most stable polymorph in this dataset at 1012.8 meV/atom.

[8]
Compound: AgRuF6
Source: Alexandria
Functional: PBE
Structure: optimized geometry

abc: 5.3676 5.3712 5.9217
angles: 63.09 63.11 60.06
Closest atoms and distances in Å follow each position.
Fractional positions:
Ag  0.0000  0.0000  0.0000  6 F 2.40
Ru  0.5000  0.5000  0.5000  6 F 1.91
F  0.1343  0.7125  0.7199  1 Ru 1.91
F  0.2871  0.5668  0.2799  1 Ru 1.91
F  0.4331  0.1343  0.7197  1 Ru 1.91
F  0.5669  0.8657  0.2803  1 Ru 1.91
F  0.7129  0.4332  0.7201  1 Ru 1.91
F  0.8657  0.2875  0.2801  1 Ru 1.91

Results
The uncorrected energy is -4.535 eV/atom. As for the formation energy without anion corrections: -1247 kJ/mol of formula units. The space-group type is No. 2.

[9]
Compound: FeSi2Se
Source: Alexandria
Functional: PBE
Structure: optimized geometry

abc: 2.9587 2.9587 7.1173
angles: 90.00 90.00 90.00
Closest atoms and distances in Å follow each position.
Fractional positions:
Fe  0.0000  0.0000  0.0000  4 Si 2.44, 4 Se 2.58
Si  0.0000  0.0000  0.6159  4 Si 2.57, 1 Fe 2.73
Si  0.5000  0.5000  0.8249  4 Fe 2.44, 4 Si 2.57
Se  0.5000  0.5000  0.2126  4 Fe 2.58, 1 Si 2.76

Results
The uncorrected energy is -5.510 eV/atom. As for the formation energy without anion corrections: 73 kJ/mol of formula units. The space-group type is No. 99.

[10]
Compound: BaTh4As5
Source: Alexandria
Functional: PBE
Structure: optimized geometry

abc: 7.5315 7.5315 10.6602
angles: 118.42 118.42 33.26
Closest atoms and distances in Å follow each position.
Fractional positions:
Ba  0.0000  0.0000  0.0000  6 As 3.19-3.24
Th  0.2035  0.2035  0.7945  6 As 2.97-3.07
Th  0.4050  0.4050  0.6024  6 As 2.99-3.05
Th  0.5950  0.5950  0.3976  6 As 2.99-3.05
Th  0.7965  0.7965  0.2055  6 As 2.97-3.07
As  0.0000  0.0000  0.5000  6 Th 3.03-3.05
As  0.2049  0.2049  0.3152  5 Th 2.99-3.05, 1 Ba 3.19
As  0.3873  0.3873  0.1082  4 Th 2.97-3.07, 2 Ba 3.24
As  0.6127  0.6127  0.8918  4 Th 2.97-3.07, 2 Ba 3.24
As  0.7951  0.7951  0.6848  5 Th 2.99-3.05, 1 Ba 3.19

Results
As for the energy relative to the elements: -1.334 eV/atom. The uncorrected energy is -6.819 eV/atom. The space-group type is No. 12.

[11]
Compound: MgAg2Au
Source: Alexandria
Functional: PBE
Structure: optimized geometry

abc: 3.1706 3.7480 6.0779
angles: 90.00 90.42 90.00
Closest atoms and distances in Å follow each position.
Fractional positions:
Mg  0.0000  0.0000  0.0000  4 Au 2.82-2.83, 6 Ag 2.91-3.07
Ag  0.0003  0.0000  0.4956  6 Ag 2.87-3.17, 4 Au 2.93-2.95, 2 Mg 3.01-3.07
Ag  0.5003  0.5000  0.7421  6 Ag 2.87-3.17, 4 Mg 2.91-2.92, 2 Au 2.97-3.11
Au  0.5021  0.5000  0.2304  4 Mg 2.82-2.83, 6 Ag 2.93-3.11

Results
As for the energy relative to the elements: -0.240 eV/atom. The uncorrected energy is -2.884 eV/atom. The space-group type is No. 6.

[12]
Compound: La2AlCoHg
Source: Alexandria
Functional: PBE
Structure: optimized geometry

abc: 5.2989 5.2989 4.6521
angles: 90.00 90.00 90.00
Closest atoms and distances in Å follow each position.
Fractional positions:
La  0.0000  0.5000  0.0000  2 Co 2.65
La  0.5000  0.0000  0.0000  2 Co 2.65
Al  0.0000  0.0000  0.5000  2 Co 2.33
Co  0.0000  0.0000  0.0000  2 Al 2.33
Hg  0.5000  0.5000  0.5000  8 La 3.53, 4 Al 3.75

Results
As for the energy relative to the elements: -0.360 eV/atom. The uncorrected energy is -4.561 eV/atom. The space-group type is No. 123.